Model w:
CrFePt (PBE, relaxed); symmetry = Imm2
1.0
4.6540 -0.0038 0.0047
2.4344 3.9666 -0.0047
-3.2270 -2.5489 2.1794
Cr Fe Pt
1 1 1
Direct
0.9941 0.9941 0.0000
0.3395 0.3395 0.0000
0.6665 0.6665 0.0000



Model x:
CrFePt (PBE, relaxed); symmetry = I4mm
1.0
-4.1280 0.0077 -4.0538
-3.3179 -2.5543 -3.9928
-2.2166 -0.6688 1.3651
Cr Fe Pt
1 1 1
Direct
0.9913 0.9913 0.0087
0.3423 0.3423 0.6577
0.6664 0.6664 0.3336



Energies relative to the minimum, eV/atom: model w 0.000; model x 0.083



Model w:
PuCrFe2 (PBE, relaxed); symmetry = P4/mmm
1.0
-1.4630 1.4363 -2.0197
-2.4751 -0.7283 1.2750
0.2985 5.6890 3.8294
Cr Fe Pu
1 2 1
Direct
0.5000 0.5000 0.0000
0.0000 0.0000 0.8055
0.0000 0.0000 0.1945
0.5000 0.5000 0.5000



Model x:
PuCrFe2 (PBE, relaxed); symmetry = P4/mmm
1.0
3.8904 0.0000 0.0000
0.0000 3.8674 0.0000
0.0000 0.0000 3.8674
Cr Fe Pu
1 2 1
Direct
0.5000 0.0000 0.0000
0.0000 0.0000 0.5000
0.0000 0.5000 0.0000
0.5000 0.5000 0.5000



Energies relative to the minimum, eV/atom: model w 0.008; model x 0.000